This record from the Alexandria database describes crystalline CdMo2O2 at its relaxed geometry. The functional is PBE+U.

abc: 3.8876 3.8876 10.2203
angles: 90.00 90.00 90.00
Last column: nearest neighbours and their distance in Å.
Space group I4/mmm (No. 139)
Symmetry-distinct sites (fractional):
1 Cd 0.0000 0.0000 0.0000 [2 per cell]  8 O 3.15, 8 Mo 3.21
2 Mo 0.0000 0.5000 0.2500 [4 per cell]  4 O 2.20
3 O 0.0000 0.0000 0.3503 [4 per cell]  4 Mo 2.20

Calculated values
Final energy ... -4.914 eV per atom
Total magnetic moment ... 5.09 μB per cell
Relative energy among the computed polymorphs ... 0.0 meV per atom
Crystal system ... tetragonal